CsNbSO after structural relaxation, computed with GGA-PBE.

The structure in extended XYZ format:
```
16
Lattice="7.3383 0.0000 0.0000 0.0000 9.6810 0.0000 -2.6425 0.0000 6.4841" Properties=species:S:1:pos:R:3 pbc="T T T"
Cs -1.3115 2.1030 3.2274
Cs -2.6327 2.7375 6.4694
Cs 7.3285 6.9435 0.0147
Cs 6.0072 7.5779 3.2567
Nb 1.0422 1.5097 6.4523
Nb 2.3634 3.3308 3.2102
Nb 2.3323 6.3502 3.2739
Nb 3.6536 8.1713 0.0318
S -0.6936 0.0033 5.8089
S 0.6277 4.8371 2.5668
S 5.3893 9.6776 0.6752
S 4.0681 4.8438 3.9173
O 1.6639 7.2298 4.9099
O 2.9851 7.2916 1.6679
O 1.7106 2.3893 4.8162
O 3.0319 2.4512 1.5742
```

Computed properties:
Its space group is P2_1/c. As for the electronic total energy: -6.3679 eV/atom.